# 1
PrHg5Pb2 | PBE | relaxed

```
PrHg5Pb2
1.0
-0.623 3.483 -7.644
-7.883 -2.889 -0.674
2.068 5.057 6.776
Pr Hg Pb
2 10 4
Direct
0.750 0.750 0.500
0.250 0.250 0.500
0.476 0.680 0.656
0.820 0.024 0.344
0.000 0.000 0.000
0.500 0.500 0.000
0.180 0.976 0.656
0.680 0.180 0.656
0.976 0.476 0.656
0.320 0.820 0.344
0.024 0.524 0.344
0.524 0.320 0.344
0.147 0.353 0.000
0.647 0.147 0.000
0.353 0.853 0.000
0.853 0.647 0.000
```

Properties
- density of states at the Fermi level (states/eV/f.u.) = 5.7
- excess energy over the best structure of this formula in the dataset (kJ/mol of formula units) = 76
- space-group type = No. 140

=====

# 2
Sc2TiW2 | PBE | relaxed

```
Sc2TiW2
1.0
6.564 0.000 0.000
0.000 6.564 0.000
0.000 0.000 4.618
Sc W Ti
4 4 2
Direct
0.167 0.667 0.500
0.667 0.833 0.500
0.833 0.333 0.500
0.333 0.167 0.500
0.363 0.863 0.000
0.863 0.637 0.000
0.637 0.137 0.000
0.137 0.363 0.000
0.000 0.000 0.000
0.500 0.500 0.000
```

Properties
- density of states at the Fermi level (states/eV/f.u.) = 3.3
- space-group type = No. 127

=====

# 3
La2BeFePt6 | PBE | relaxed

```
La2BeFePt6
1.0
5.826 0.023 0.018
-0.031 7.248 1.025
2.881 4.337 5.147
La Be Fe Pt
2 1 1 6
Direct
0.719 0.281 0.563
0.281 0.719 0.437
0.500 0.500 0.000
0.000 0.000 0.000
0.260 0.223 0.481
0.778 0.740 0.963
0.260 0.740 0.963
0.740 0.260 0.037
0.222 0.260 0.037
0.740 0.777 0.519
```

Properties
- density of states at the Fermi level (states/eV/f.u.) = 5.1
- space-group type = No. 166

=====

# 4
KBa2Mn | PBE | relaxed

```
KBa2Mn
1.0
-2.240 3.503 1.218
-3.555 -1.622 -1.872
-2.628 -4.887 9.222
Ba K Mn
2 1 1
Direct
0.000 0.000 0.933
0.500 0.500 0.230
0.000 0.000 0.560
0.500 0.500 0.778
```

Properties
- density of states at the Fermi level (states/eV/f.u.) = 5.6
- excess energy over the best structure of this formula in the dataset (kJ/mol of formula units) = 55
- space-group type = No. 99

=====

# 5
Li8Cd2Rh | PBE | relaxed

```
Li8Cd2Rh
1.0
5.086 0.527 0.438
0.743 7.124 1.629
0.743 2.904 6.707
Li Cd Rh
8 2 1
Direct
0.795 0.243 0.642
0.205 0.358 0.757
0.916 0.212 0.212
0.084 0.788 0.788
0.795 0.642 0.243
0.205 0.757 0.358
0.343 0.345 0.345
0.657 0.655 0.655
0.483 0.119 0.119
0.517 0.881 0.881
0.000 0.000 0.000
```

Properties
- density of states at the Fermi level (states/eV/f.u.) = 4.5
- excess energy over the best structure of this formula in the dataset (kJ/mol of formula units) = 82
- space-group type = No. 12

=====

# 6
TiReRu2 | PBE | relaxed

```
TiReRu2
1.0
-3.521 1.530 0.332
-1.087 -2.977 2.192
0.227 3.564 8.341
Re Ti Ru
2 2 4
Direct
0.000 0.000 0.000
0.750 0.250 0.500
0.500 0.500 0.000
0.250 0.750 0.500
0.609 0.125 0.250
0.141 0.625 0.250
0.375 0.391 0.750
0.875 0.859 0.750
```

Properties
- density of states at the Fermi level (states/eV/f.u.) = 3.3
- space-group type = No. 122

=====

# 7
AcIn2HgBi | PBE | relaxed

```
AcIn2HgBi
1.0
6.834 0.000 0.000
0.000 6.427 0.000
0.000 -3.213 7.316
Ac In Hg Bi
2 4 2 2
Direct
0.750 0.715 0.429
0.250 0.285 0.571
0.500 0.268 0.000
0.000 0.732 0.000
0.500 0.732 0.000
0.000 0.268 0.000
0.250 0.884 0.768
0.750 0.116 0.232
0.250 0.679 0.358
0.750 0.321 0.642
```

Properties
- density of states at the Fermi level (states/eV/f.u.) = 2.4
- space-group type = No. 63

=====

# 8
Tb6PrEr2 | PBE | relaxed

```
Tb6PrEr2
1.0
3.548 0.321 0.221
-0.165 6.066 -6.268
0.937 0.714 12.775
Tb Pr Er
6 1 2
Direct
0.889 0.557 0.222
0.111 0.443 0.778
0.668 0.664 0.664
0.778 0.109 0.444
0.222 0.891 0.556
0.332 0.336 0.336
0.000 0.000 0.000
0.444 0.775 0.111
0.556 0.225 0.889
```

Properties
- density of states at the Fermi level (states/eV/f.u.) = 12.7
- excess energy over the best structure of this formula in the dataset (kJ/mol of formula units) = 0
- space-group type = No. 12

=====

# 9
Pm3HgSe | PBE | relaxed

```
Pm3HgSe
1.0
-2.758 0.602 2.950
-4.968 -7.081 -3.201
7.973 -9.876 9.472
Pm Hg Se
12 4 4
Direct
0.250 0.344 0.542
0.750 0.827 0.211
0.750 0.519 0.891
0.750 0.019 0.609
0.750 0.656 0.458
0.250 0.981 0.391
0.250 0.844 0.958
0.750 0.327 0.289
0.250 0.673 0.711
0.250 0.173 0.789
0.750 0.156 0.042
0.250 0.481 0.109
0.750 0.898 0.806
0.250 0.102 0.194
0.750 0.398 0.694
0.250 0.602 0.306
0.250 0.316 0.950
0.250 0.816 0.550
0.750 0.184 0.450
0.750 0.684 0.050
```

Properties
- density of states at the Fermi level (states/eV/f.u.) = 5.0
- space-group type = No. 62

=====

# 10
CuRe2Pb2 | PBE | relaxed

```
CuRe2Pb2
1.0
5.446 0.000 0.000
0.000 5.446 0.000
2.723 2.723 3.779
Pb Re Cu
2 2 1
Direct
0.750 0.250 0.500
0.250 0.750 0.500
0.351 0.351 0.299
0.649 0.649 0.701
0.000 0.000 0.000
```

Properties
- density of states at the Fermi level (states/eV/f.u.) = 5.0
- excess energy over the best structure of this formula in the dataset (kJ/mol of formula units) = 156
- space-group type = No. 139

=====

# 11
Y6Ag5 | PBE | relaxed

```
Y6Ag5
1.0
-2.456 0.679 4.440
-1.063 -7.150 0.506
8.385 2.517 1.303
Y Ag
6 5
Direct
0.500 0.752 0.000
0.500 0.248 0.000
0.837 0.084 0.673
0.837 0.589 0.673
0.163 0.916 0.327
0.163 0.411 0.327
0.000 0.500 0.000
0.669 0.669 0.338
0.331 0.331 0.662
0.330 0.830 0.659
0.670 0.170 0.341
```

Properties
- density of states at the Fermi level (states/eV/f.u.) = 7.5
- space-group type = No. 71

=====

# 12
ErBe6Nb2 | PBE | relaxed

```
ErBe6Nb2
1.0
3.078 0.000 0.000
0.000 5.715 -3.299
0.000 0.000 6.599
Er Be Nb
1 6 2
Direct
0.000 0.000 0.000
0.500 0.345 0.345
0.500 0.655 0.655
0.500 0.000 0.655
0.500 0.655 0.000
0.500 0.345 0.000
0.500 0.000 0.345
0.000 0.333 0.667
0.000 0.667 0.333
```

Properties
- density of states at the Fermi level (states/eV/f.u.) = 6.1
- space-group type = No. 191

=====

Ordered calculated total energy results: -29.28 -89.06 -65.61 -12.14 -24.92 -73.85 -30.50 -41.53 -89.88 -30.70 -55.57 -47.46; unit eV per cell.